(1)
BeSe | PBE | relaxed

Unit cell a=3.1030 b=3.1030 c=3.1030 alpha=90.00 beta=90.00 gamma=90.00
Positions (direct):
Se 0.5000 0.5000 0.5000
Be 0.0000 0.0000 0.0000

## Properties
Symmetry ... No. 221
E_form (uncorrected) ... 51.6 kJ/mol of atoms



(2)
BeSe | PBE | relaxed

Unit cell a=6.3866 b=6.3866 c=6.3866 alpha=90.00 beta=90.00 gamma=90.00
Positions (direct):
Se 0.7500 0.5000 0.0000
Se 0.5000 0.0000 0.2500
Be 0.0000 0.5000 0.7500
Se 0.0000 0.2500 0.5000
Be 0.0000 0.5000 0.2500
Se 0.5000 0.0000 0.7500
Be 0.5000 0.7500 0.0000
Se 0.2500 0.5000 0.0000
Be 0.7500 0.0000 0.5000
Se 0.0000 0.7500 0.5000
Be 0.2500 0.0000 0.5000
Be 0.5000 0.2500 0.0000

## Properties
Symmetry ... No. 223
E_form (uncorrected) ... -62.4 kJ/mol of atoms



(3)
BeSe2 | PBE | relaxed

Unit cell a=4.5861 b=4.5861 c=2.7341 alpha=90.00 beta=90.00 gamma=90.00
Positions (direct):
Be 0.0000 0.0000 0.0000
Se 0.0000 0.5000 0.5000
Se 0.5000 0.0000 0.5000

## Properties
Symmetry ... No. 123
E_form (uncorrected) ... 38.9 kJ/mol of atoms



| no. | electronic total energy (eV per atom) | energy above the most stable polymorph in this dataset (eV/atom) |
| --- | --- | --- |
| 1 | -3.070 | 1.339 |
| 2 | -4.252 | 0.158 |
| 3 | -3.162 | 0.773 |